# PBE+U CoCuSO, optimized geometry
# N(E_F) = 1.5 states/eV/f.u.
# Magnetization = 1.15 μB per formula unit
# DFT total energy = -4.896 eV/atom
data_CoCuSO
_symmetry_space_group_name_H-M 'P 1'
_symmetry_Int_Tables_number 1
_cell_length_a 2.957
_cell_length_b 5.325
_cell_length_c 6.720
_cell_angle_alpha 89.67
_cell_angle_beta 77.38
_cell_angle_gamma 90.00
loop_
_symmetry_equiv_pos_as_xyz
'x,y,z'
loop_
_atom_site_label
_atom_site_type_symbol
_atom_site_fract_x
_atom_site_fract_y
_atom_site_fract_z
_atom_site_occupancy
Co1 Co 0.000 0.000 0.000 1
Co2 Co 0.335 0.419 0.333 1
Cu1 Cu 0.580 0.453 0.840 1
Cu2 Cu 0.705 0.824 0.590 1
S1 S 0.730 0.248 0.545 1
S2 S 0.866 0.720 0.270 1
O1 O 0.464 0.219 0.072 1
O2 O 0.561 0.814 0.877 1